This record from Alexandria describes NpU2Re after structural relaxation. The functional is GGA-PBE.

The space group is Cmcm (63). For the electronic total energy, the calculation gives -11.90 eV/atom. As for the calculated formation energy: 0.089 eV/atom. Its crystal system is orthorhombic. The calculation puts the density of states at the Fermi level at 7.64 states/eV/f.u. The calculation puts the distance to the lowest polymorph of the same formula at 0.000 eV per atom.

Cell: 5.5973 5.5973 5.2674 Å, 90.00 90.00 73.78°
Sites, in units of the cell vectors:
Np  0.1286  0.8714  0.7500
Np  0.8714  0.1286  0.2500
U  0.0491  0.3334  0.7500
U  0.3334  0.0491  0.2500
U  0.6666  0.9509  0.7500
U  0.9509  0.6666  0.2500
Re  0.5000  0.5000  0.0000
Re  0.5000  0.5000  0.5000

---

This record from Alexandria describes Mg2ReIr after structural relaxation. The functional is GGA-PBE.

The space group is I-42d (122). For the electronic total energy, the calculation gives -5.43 eV/atom. As for the calculated formation energy: 0.691 eV/atom. Its crystal system is tetragonal. The calculation puts the density of states at the Fermi level at 4.05 states/eV/f.u. The calculation puts the distance to the lowest polymorph of the same formula at 0.775 eV per atom.

Cell: 5.7987 5.7987 5.7987 Å, 101.55 101.55 126.84°
Sites, in units of the cell vectors:
Mg  0.1063  0.6250  0.9813
Mg  0.3750  0.3563  0.4813
Mg  0.6437  0.1250  0.0187
Mg  0.8750  0.8937  0.5187
Re  0.2500  0.7500  0.5000
Re  0.5000  0.5000  0.0000
Ir  0.0000  0.0000  0.0000
Ir  0.7500  0.2500  0.5000

---

This record from Alexandria describes CaEr2Tl3 after structural relaxation. The functional is GGA-PBE.

The space group is P4/mmm (123). For the electronic total energy, the calculation gives -3.39 eV/atom. As for the calculated formation energy: -0.357 eV/atom. Its crystal system is tetragonal. The calculation puts the density of states at the Fermi level at 3.24 states/eV/f.u.

Cell: 3.7810 3.7810 11.5821 Å, 90.00 90.00 90.00°
Sites, in units of the cell vectors:
Ca  0.0000  0.0000  0.0000
Er  0.0000  0.0000  0.3352
Er  0.0000  0.0000  0.6648
Tl  0.5000  0.5000  0.1740
Tl  0.5000  0.5000  0.5000
Tl  0.5000  0.5000  0.8260

---

This record from Alexandria describes BaMgBe after structural relaxation. The functional is GGA-PBE.

The space group is P2_1/m (11). For the electronic total energy, the calculation gives -2.23 eV/atom. As for the calculated formation energy: 0.184 eV/atom. Its crystal system is monoclinic. The calculation puts the density of states at the Fermi level at 2.24 states/eV/f.u. The calculation puts the distance to the lowest polymorph of the same formula at 0.000 eV per atom.

Cell: 5.0297 4.2179 8.7768 Å, 90.00 98.45 90.00°
Sites, in units of the cell vectors:
Ba  0.2137  0.2500  0.3172
Ba  0.7863  0.7500  0.6828
Mg  0.3520  0.2500  0.8939
Mg  0.6480  0.7500  0.1061
Be  0.1045  0.7500  0.0154
Be  0.8955  0.2500  0.9846

---

This record from Alexandria describes Zn4PdAu3 after structural relaxation. The functional is GGA-PBE.

The space group is Immm (71). For the electronic total energy, the calculation gives -2.68 eV/atom. As for the calculated formation energy: -0.161 eV/atom. Its crystal system is orthorhombic. The calculation puts the density of states at the Fermi level at 1.75 states/eV/f.u. The calculation puts the distance to the lowest polymorph of the same formula at 0.130 eV per atom.

Cell: 6.9897 6.9897 6.9897 Å, 156.58 100.52 84.24°
Sites, in units of the cell vectors:
Zn  0.1171  0.8708  0.2463
Zn  0.3754  0.1292  0.2463
Zn  0.6246  0.8708  0.7537
Zn  0.8829  0.1292  0.7537
Pd  0.0000  0.0000  0.0000
Au  0.2400  0.7400  0.5000
Au  0.5000  0.5000  0.0000
Au  0.7600  0.2600  0.5000

---

This record from Alexandria describes Pr6AgRh2Br3 after structural relaxation. The functional is GGA-PBE.

The space group is C2/m (12). For the electronic total energy, the calculation gives -5.20 eV/atom. The calculation puts the uncorrected formation energy at -927 meV/atom. Its crystal system is monoclinic. The calculation puts the density of states at the Fermi level at 8.73 states/eV/f.u.

Cell: 7.3374 7.3374 8.2230 Å, 98.51 98.51 120.05°
Sites, in units of the cell vectors:
Pr  0.0775  0.4327  0.7985
Pr  0.2112  0.2112  0.2010
Pr  0.4327  0.0775  0.7985
Pr  0.5673  0.9225  0.2015
Pr  0.7888  0.7888  0.7990
Pr  0.9225  0.5673  0.2015
Ag  0.5000  0.5000  0.0000
Rh  0.1668  0.8332  0.0000
Rh  0.8332  0.1668  0.0000
Br  0.0000  0.0000  0.5000
Br  0.3327  0.6673  0.5000
Br  0.6673  0.3327  0.5000